## Cs2CrBrF6 (PBE+U)

Data for a geometry-optimized Cs2CrBrF6 structure.

Cell and atoms, written as POSCAR:
```
Cs2CrBrF6
1.0
6.2607 0.0000 0.0000
0.0000 6.2607 0.0000
3.1304 3.1304 5.1670
Cs Cr Br F
2 1 1 6
Direct
0.7500 0.2500 0.5000
0.2500 0.7500 0.5000
0.5000 0.5000 0.0000
0.0000 0.0000 0.0000
0.3129 0.3129 0.3741
0.6871 0.6871 0.6259
0.2771 0.2771 0.0000
0.7229 0.7229 0.0000
0.7229 0.2771 0.0000
0.2771 0.7229 0.0000
```

Output
Uncorrected energy = -44.521 eV for the cell shown